Record 1
! Li2PmNi9, relaxed, DFT PBE-GGA; values from VASP
! **Relative energy among the computed polymorphs**: 0.00 eV/f.u.
! **Energy**: -0.382 Ry per atom
! **Total moment**: 7.26 μB/cell
! **Formation enthalpy at 0 K**: -142 meV per atom
! **Space group**: P4/mbm
&SYSTEM
  ibrav = 0, nat = 24, ntyp = 3
/
ATOMIC_SPECIES
Li 6.94 Li.upf
Pm 145.00 Pm.upf
Ni 58.69 Ni.upf
CELL_PARAMETERS angstrom
8.107 0.000 0.000
0.000 8.107 0.000
0.000 0.000 4.747
ATOMIC_POSITIONS angstrom
Li 0.919 3.134 0.000
Li 3.134 7.188 0.000
Li 4.972 0.919 0.000
Li 7.188 4.972 0.000
Pm 0.000 0.000 0.000
Pm 4.053 4.053 0.000
Ni 0.000 4.053 2.374
Ni 0.511 1.716 2.374
Ni 1.459 5.512 1.160
Ni 1.459 5.512 3.588
Ni 1.716 7.596 2.374
Ni 2.337 3.542 2.374
Ni 2.594 1.459 1.160
Ni 2.594 1.459 3.588
Ni 3.542 5.769 2.374
Ni 4.053 0.000 2.374
Ni 4.564 2.337 2.374
Ni 5.512 6.647 1.160
Ni 5.512 6.647 3.588
Ni 5.769 4.564 2.374
Ni 6.391 0.511 2.374
Ni 6.647 2.594 1.160
Ni 6.647 2.594 3.588
Ni 7.596 6.391 2.374

***

Record 2
! Ac5AgAu4, relaxed, DFT PBE-GGA; values from VASP
! **Energy**: -0.318 Ry per atom
! **Total moment**: 0.00 μB/cell
! **Formation enthalpy at 0 K**: -673 meV per atom
! **Space group**: P4/mmm
&SYSTEM
  ibrav = 0, nat = 10, ntyp = 3
/
ATOMIC_SPECIES
Ac 227.00 Ac.upf
Ag 107.87 Ag.upf
Au 196.97 Au.upf
CELL_PARAMETERS angstrom
3.908 0.000 0.000
0.000 3.908 0.000
0.000 0.000 19.716
ATOMIC_POSITIONS angstrom
Ac 0.000 0.000 0.000
Ac 0.000 0.000 3.913
Ac 0.000 0.000 7.812
Ac 0.000 0.000 11.904
Ac 0.000 0.000 15.803
Ag 1.954 1.954 9.858
Au 1.954 1.954 1.964
Au 1.954 1.954 5.925
Au 1.954 1.954 13.791
Au 1.954 1.954 17.752

***

Record 3
! LuMgHgBi, relaxed, DFT PBE-GGA; values from VASP
! **Energy**: -0.209 Ry per atom
! **Total moment**: 0.00 μB/cell
! **Formation enthalpy at 0 K**: -274 meV per atom
! **Space group**: F-43m
&SYSTEM
  ibrav = 0, nat = 16, ntyp = 4
/
ATOMIC_SPECIES
Lu 174.97 Lu.upf
Mg 24.30 Mg.upf
Hg 200.59 Hg.upf
Bi 208.98 Bi.upf
CELL_PARAMETERS angstrom
7.441 0.000 0.000
0.000 7.441 0.000
0.000 0.000 7.441
ATOMIC_POSITIONS angstrom
Lu 0.000 0.000 0.000
Lu 0.000 3.721 3.721
Lu 3.721 0.000 3.721
Lu 3.721 3.721 0.000
Mg 0.000 0.000 3.721
Mg 0.000 3.721 0.000
Mg 3.721 0.000 0.000
Mg 3.721 3.721 3.721
Hg 1.860 1.860 1.860
Hg 1.860 5.581 5.581
Hg 5.581 1.860 5.581
Hg 5.581 5.581 1.860
Bi 1.860 1.860 5.581
Bi 1.860 5.581 1.860
Bi 5.581 1.860 1.860
Bi 5.581 5.581 5.581

***

Record 4
! NbCuSi, relaxed, DFT PBE-GGA; values from VASP
! **Energy**: -0.493 Ry per atom
! **Total moment**: 0.00 μB/cell
! **Raw formation energy**: -0.174 eV/atom
! **Space group**: Cm
&SYSTEM
  ibrav = 0, nat = 12, ntyp = 3
/
ATOMIC_SPECIES
Nb 92.91 Nb.upf
Cu 63.55 Cu.upf
Si 28.09 Si.upf
CELL_PARAMETERS angstrom
8.096 0.000 0.000
0.000 4.885 0.000
-1.591 0.000 4.539
ATOMIC_POSITIONS angstrom
Nb 0.000 0.000 0.000
Nb -0.206 2.443 3.591
Nb 4.048 2.443 0.000
Nb 3.842 0.000 3.591
Cu 1.858 1.249 1.827
Cu 1.858 3.636 1.827
Cu 5.906 1.193 1.827
Cu 5.906 3.692 1.827
Si -0.150 0.000 2.495
Si 2.871 0.000 0.004
Si 3.898 2.443 2.495
Si 6.919 2.443 0.004

***

Record 5
! Er6TmIn2, relaxed, DFT PBE-GGA; values from VASP
! **Energy**: -0.320 Ry per atom
! **Total moment**: 0.00 μB/cell
! **Formation enthalpy at 0 K**: -204 meV per atom
! **Space group**: C2/m
&SYSTEM
  ibrav = 0, nat = 9, ntyp = 3
/
ATOMIC_SPECIES
Er 167.26 Er.upf
Tm 168.93 Tm.upf
In 114.82 In.upf
CELL_PARAMETERS angstrom
6.282 -1.850 0.000
6.282 1.850 0.000
-3.674 0.000 11.213
ATOMIC_POSITIONS angstrom
Er -1.056 0.000 3.836
Er 2.388 0.000 4.661
Er 3.549 0.000 1.376
Er 5.340 0.000 9.837
Er 6.502 0.000 6.552
Er 9.946 0.000 7.377
Tm 0.000 0.000 0.000
In 1.544 0.000 8.918
In 7.346 0.000 2.294

***

Record 6
! TiSnTe3, relaxed, DFT PBE-GGA; values from VASP
! **Relative energy among the computed polymorphs**: 0.00 eV/f.u.
! **Energy**: -0.349 Ry per atom
! **Total moment**: 0.00 μB/cell
! **Raw formation energy**: -0.482 eV/atom
! **Space group**: Pnma
&SYSTEM
  ibrav = 0, nat = 20, ntyp = 3
/
ATOMIC_SPECIES
Ti 47.87 Ti.upf
Sn 118.71 Sn.upf
Te 127.60 Te.upf
CELL_PARAMETERS angstrom
10.115 0.000 0.000
0.000 4.011 0.000
0.000 0.000 15.336
ATOMIC_POSITIONS angstrom
Ti 1.515 1.003 0.657
Ti 3.543 3.008 8.325
Ti 6.572 1.003 7.011
Ti 8.600 3.008 14.679
Sn 0.533 1.003 10.004
Sn 4.525 3.008 2.336
Sn 5.590 1.003 13.000
Sn 9.582 3.008 5.332
Te 0.141 1.003 13.612
Te 1.830 1.003 7.319
Te 2.457 3.008 10.921
Te 2.600 1.003 3.253
Te 3.228 3.008 14.987
Te 4.916 3.008 5.944
Te 5.199 1.003 9.392
Te 6.887 1.003 0.349
Te 7.514 3.008 12.083
Te 7.658 1.003 4.415
Te 8.285 3.008 8.017
Te 9.973 3.008 1.724

***

Repeat the third record exactly.
! LuMgHgBi, relaxed, DFT PBE-GGA; values from VASP
! **Energy**: -0.209 Ry per atom
! **Total moment**: 0.00 μB/cell
! **Formation enthalpy at 0 K**: -274 meV per atom
! **Space group**: F-43m
&SYSTEM
  ibrav = 0, nat = 16, ntyp = 4
/
ATOMIC_SPECIES
Lu 174.97 Lu.upf
Mg 24.30 Mg.upf
Hg 200.59 Hg.upf
Bi 208.98 Bi.upf
CELL_PARAMETERS angstrom
7.441 0.000 0.000
0.000 7.441 0.000
0.000 0.000 7.441
ATOMIC_POSITIONS angstrom
Lu 0.000 0.000 0.000
Lu 0.000 3.721 3.721
Lu 3.721 0.000 3.721
Lu 3.721 3.721 0.000
Mg 0.000 0.000 3.721
Mg 0.000 3.721 0.000
Mg 3.721 0.000 0.000
Mg 3.721 3.721 3.721
Hg 1.860 1.860 1.860
Hg 1.860 5.581 5.581
Hg 5.581 1.860 5.581
Hg 5.581 5.581 1.860
Bi 1.860 1.860 5.581
Bi 1.860 5.581 1.860
Bi 5.581 1.860 1.860
Bi 5.581 5.581 5.581

***

What did the first record say?
! Li2PmNi9, relaxed, DFT PBE-GGA; values from VASP
! **Relative energy among the computed polymorphs**: 0.00 eV/f.u.
! **Energy**: -0.382 Ry per atom
! **Total moment**: 7.26 μB/cell
! **Formation enthalpy at 0 K**: -142 meV per atom
! **Space group**: P4/mbm
&SYSTEM
  ibrav = 0, nat = 24, ntyp = 3
/
ATOMIC_SPECIES
Li 6.94 Li.upf
Pm 145.00 Pm.upf
Ni 58.69 Ni.upf
CELL_PARAMETERS angstrom
8.107 0.000 0.000
0.000 8.107 0.000
0.000 0.000 4.747
ATOMIC_POSITIONS angstrom
Li 0.919 3.134 0.000
Li 3.134 7.188 0.000
Li 4.972 0.919 0.000
Li 7.188 4.972 0.000
Pm 0.000 0.000 0.000
Pm 4.053 4.053 0.000
Ni 0.000 4.053 2.374
Ni 0.511 1.716 2.374
Ni 1.459 5.512 1.160
Ni 1.459 5.512 3.588
Ni 1.716 7.596 2.374
Ni 2.337 3.542 2.374
Ni 2.594 1.459 1.160
Ni 2.594 1.459 3.588
Ni 3.542 5.769 2.374
Ni 4.053 0.000 2.374
Ni 4.564 2.337 2.374
Ni 5.512 6.647 1.160
Ni 5.512 6.647 3.588
Ni 5.769 4.564 2.374
Ni 6.391 0.511 2.374
Ni 6.647 2.594 1.160
Ni 6.647 2.594 3.588
Ni 7.596 6.391 2.374

***

Q: What is the total moment in the second record?
A: 0.00 μB/cell